Entry 1:
First-principles (GGA-PBE) data for a relaxed structure of ErZn4Pd2, as listed in the Alexandria database.

Cell lengths 7.466, 7.466, 4.274 Å; angles 90.00, 90.00, 90.00 degrees
Element x y z (fractional)
Er 0.000 0.000 0.000
Er 0.500 0.500 0.500
Zn 0.101 0.355 0.500
Zn 0.145 0.601 0.000
Zn 0.355 0.101 0.500
Zn 0.399 0.855 0.000
Zn 0.601 0.145 0.000
Zn 0.645 0.899 0.500
Zn 0.855 0.399 0.000
Zn 0.899 0.645 0.500
Pd 0.215 0.785 0.500
Pd 0.285 0.285 0.000
Pd 0.715 0.715 0.000
Pd 0.785 0.215 0.500

Summary:
Energy of formation ... -529 meV/atom
ρ ... 8.95 Mg/m³
Energy ... -3.39 eV/atom
Space group ... P4_2/mnm (136)

---

Entry 2:
First-principles (GGA-PBE) data for a relaxed structure of ZnGa2Cl, as listed in the Alexandria database.

Cell lengths 5.966, 5.966, 12.511 Å; angles 90.00, 90.00, 90.00 degrees
Element x y z (fractional)
Zn 0.000 0.000 0.000
Zn 0.000 0.500 0.250
Zn 0.500 0.000 0.750
Zn 0.500 0.500 0.500
Ga 0.214 0.250 0.125
Ga 0.250 0.714 0.375
Ga 0.250 0.786 0.875
Ga 0.286 0.250 0.625
Ga 0.714 0.750 0.625
Ga 0.750 0.214 0.875
Ga 0.750 0.286 0.375
Ga 0.786 0.750 0.125
Cl 0.000 0.000 0.500
Cl 0.000 0.500 0.750
Cl 0.500 0.000 0.250
Cl 0.500 0.500 0.000

Summary:
Energy relative to the elements, uncorrected ... -29 meV per atom
Distance to the lowest polymorph of the same formula ... 0 meV/atom
ρ ... 3.58 Mg/m³
Energy ... -2.32 eV/atom
Space group ... I-42d (122)

---

Entry 3:
First-principles (GGA-PBE) data for a relaxed structure of CaDyZnAu, as listed in the Alexandria database.

Cell lengths 3.639, 3.639, 7.179 Å; angles 90.00, 90.00, 90.00 degrees
Element x y z (fractional)
Ca 0.000 0.000 0.000
Dy 0.000 0.000 0.502
Zn 0.500 0.500 0.268
Au 0.500 0.500 0.728

Summary:
Energy of formation ... -566 meV/atom
Distance to the lowest polymorph of the same formula ... 0 meV/atom
ρ ... 8.12 Mg/m³
Energy ... -3.35 eV/atom
Space group ... P4mm (99)

---

What is the energy in the first record?
-3.39 eV/atom

---

Copy entry 2 word for word.
First-principles (GGA-PBE) data for a relaxed structure of ZnGa2Cl, as listed in the Alexandria database.

Cell lengths 5.966, 5.966, 12.511 Å; angles 90.00, 90.00, 90.00 degrees
Element x y z (fractional)
Zn 0.000 0.000 0.000
Zn 0.000 0.500 0.250
Zn 0.500 0.000 0.750
Zn 0.500 0.500 0.500
Ga 0.214 0.250 0.125
Ga 0.250 0.714 0.375
Ga 0.250 0.786 0.875
Ga 0.286 0.250 0.625
Ga 0.714 0.750 0.625
Ga 0.750 0.214 0.875
Ga 0.750 0.286 0.375
Ga 0.786 0.750 0.125
Cl 0.000 0.000 0.500
Cl 0.000 0.500 0.750
Cl 0.500 0.000 0.250
Cl 0.500 0.500 0.000

Summary:
Energy relative to the elements, uncorrected ... -29 meV per atom
Distance to the lowest polymorph of the same formula ... 0 meV/atom
ρ ... 3.58 Mg/m³
Energy ... -2.32 eV/atom
Space group ... I-42d (122)